(1)
## ZrCd3P (PBE)

Data for an optimized crystal structure of ZrCd3P.

M_tot	0.00	μB/f.u.
symmetry	Pm-3m, No. 221
distance to the lowest polymorph of the same formula	620	meV per atom
crystal system	cubic

abc: 5.551 5.551 5.551
angles: 90.00 90.00 90.00
Atoms (fractional coordinates):
Zr 0.000 0.000 0.000
Cd 0.000 0.000 0.500
Cd 0.000 0.500 0.000
Cd 0.500 0.000 0.000
P 0.500 0.500 0.500

(2)
## ZrAlIr2 (PBE)

Data for an optimized crystal structure of ZrAlIr2.

M_tot	0.11	μB/f.u.
symmetry	P4mm, No. 99
final energy	-31.56	eV for the cell shown
crystal system	tetragonal

abc: 2.935 2.935 7.630
angles: 90.00 90.00 90.00
Atoms (fractional coordinates):
Zr 0.000 0.000 0.000
Al 0.500 0.500 0.299
Ir 0.000 0.000 0.492
Ir 0.500 0.500 0.743

(3)
## Ag5Te2Cl2 (PBE)

Data for an optimized crystal structure of Ag5Te2Cl2.

M_tot	0.00	μB/f.u.
symmetry	Ima2, No. 46
distance to the lowest polymorph of the same formula	20	meV per atom
raw formation energy	-0.16	eV/atom
crystal system	orthorhombic

abc: 9.477 9.477 9.477
angles: 69.94 132.05 132.32
Atoms (fractional coordinates):
Ag 0.154 0.273 0.380
Ag 0.241 0.069 0.310
Ag 0.241 0.431 0.671
Ag 0.411 0.638 0.993
Ag 0.411 0.917 0.273
Ag 0.644 0.138 0.727
Ag 0.644 0.417 0.007
Ag 0.759 0.569 0.329
Ag 0.759 0.931 0.690
Ag 0.893 0.773 0.620
Te 0.267 0.267 0.000
Te 0.267 0.767 0.500
Te 0.317 0.119 0.699
Te 0.420 0.619 0.301
Cl 0.789 0.231 0.307
Cl 0.789 0.982 0.058
Cl 0.924 0.482 0.693
Cl 0.924 0.731 0.942

(4)
## Sc2MnW (PBE)

Data for an optimized crystal structure of Sc2MnW.

M_tot	0.97	μB/f.u.
symmetry	Pmmm, No. 47
distance to the lowest polymorph of the same formula	322	meV per atom
crystal system	orthorhombic

abc: 3.367 4.524 4.558
angles: 90.00 90.00 90.00
Atoms (fractional coordinates):
Sc 0.000 0.000 0.000
Sc 0.500 0.000 0.500
Mn 0.000 0.500 0.500
W 0.500 0.500 0.000

(5)
## Li4U3CrN8 (PBE)

Data for an optimized crystal structure of Li4U3CrN8.

M_tot	2.13	μB/f.u.
symmetry	R-3m, No. 166
raw formation energy	-0.94	eV/atom
crystal system	trigonal

abc: 6.363 6.363 6.363
angles: 63.61 63.61 63.61
Atoms (fractional coordinates):
Li 0.000 0.000 0.000
Li 0.000 0.500 0.500
Li 0.500 0.000 0.500
Li 0.500 0.500 0.000
U 0.000 0.000 0.500
U 0.000 0.500 0.000
U 0.500 0.000 0.000
Cr 0.500 0.500 0.500
N 0.232 0.737 0.737
N 0.239 0.239 0.239
N 0.263 0.263 0.768
N 0.263 0.768 0.263
N 0.737 0.232 0.737
N 0.737 0.737 0.232
N 0.761 0.761 0.761
N 0.768 0.263 0.263

(6)
## ErTh2Ru (PBE)

Data for an optimized crystal structure of ErTh2Ru.

M_tot	0.00	μB/f.u.
symmetry	Cmcm, No. 63
distance to the lowest polymorph of the same formula	9	meV per atom
crystal system	orthorhombic

abc: 6.146 6.146 9.864
angles: 90.00 90.00 143.57
Atoms (fractional coordinates):
Er 0.082 0.918 0.750
Er 0.918 0.082 0.250
Th 0.361 0.639 0.564
Th 0.361 0.639 0.936
Th 0.639 0.361 0.064
Th 0.639 0.361 0.436
Ru 0.207 0.793 0.250
Ru 0.793 0.207 0.750

Number 6 is which compound?
ErTh2Ru